Entry 1:
An optimized crystal structure of LiMn2Zn, computed with PBE-GGA.

DOS at the Fermi energy: 3.42 states/eV/f.u.
total energy: -60.96 eV per cell
crystal system: trigonal
formation enthalpy at 0 K: 29 kJ/mol of atoms

Unit cell a=2.5755 b=2.5755 c=27.1497 alpha=90.00 beta=90.00 gamma=120.00
Last column: nearest neighbours and their distance in Å.
Space group R-3m (No. 166, hexagonal axes)
Symmetry-distinct sites (fractional):
Li  0.0000  0.0000  0.0000  6 Li 2.58, 6 Mn 2.75
Mn  0.0000  0.0000  0.2481  6 Mn 2.58, 3 Zn 2.66, 3 Li 2.75
Zn  0.0000  0.0000  0.5000  6 Zn 2.58, 6 Mn 2.66

Entry 2:
An optimized crystal structure of LiMn2Zn, computed with PBE-GGA.

DOS at the Fermi energy: 3.38 states/eV/f.u.
total energy: -77.41 eV per cell
crystal system: tetragonal
formation enthalpy at 0 K: 52 kJ/mol of atoms

Unit cell a=6.9028 b=6.9028 c=5.1647 alpha=90.00 beta=90.00 gamma=90.00
Last column: nearest neighbours and their distance in Å.
Space group I-42d (No. 122)
Symmetry-distinct sites (fractional):
Li  0.0000  0.0000  0.0000  4 Mn 2.54, 2 Zn 2.58
Mn  0.2467  0.2500  0.6250  2 Zn 2.51, 2 Li 2.54, 2 Mn 2.58
Zn  0.0000  0.0000  0.5000  4 Mn 2.51, 2 Li 2.58

Entry 3:
An optimized crystal structure of LiMn2Zn, computed with PBE-GGA.

DOS at the Fermi energy: 3.15 states/eV/f.u.
total energy: -41.14 eV per cell
crystal system: monoclinic
formation enthalpy at 0 K: 23 kJ/mol of atoms

Unit cell a=8.9773 b=2.6972 c=4.6820 alpha=90.00 beta=100.49 gamma=90.00
Last column: nearest neighbours and their distance in Å.
Space group Cm (No. 8)
Symmetry-distinct sites (fractional):
Li  0.0000  0.0000  0.0000  7 Mn 2.64-2.77, 2 Li 2.70, 3 Zn 2.71-2.72
Mn  0.0009  0.5000  0.5024  5 Mn 2.61-2.79, 3 Zn 2.68-2.72, 4 Li 2.69-2.71
Mn  0.2393  0.0000  0.7468  5 Mn 2.61-2.79, 3 Li 2.64-2.77, 4 Zn 2.69-2.72
Zn  0.2522  0.5000  0.2553  7 Mn 2.68-2.72, 2 Zn 2.70, 3 Li 2.71-2.72

Entry 4:
An optimized crystal structure of LiMn2Zn, computed with PBE-GGA.

DOS at the Fermi energy: 3.63 states/eV/f.u.
total energy: -20.42 eV per cell
crystal system: tetragonal
formation enthalpy at 0 K: 27 kJ/mol of atoms

Unit cell a=2.7698 b=2.7698 c=7.6413 alpha=90.00 beta=90.00 gamma=90.00
Last column: nearest neighbours and their distance in Å.
Space group P4/mmm (No. 123)
Symmetry-distinct sites (fractional):
Li  0.0000  0.0000  0.0000  4 Li 2.77, 8 Mn 2.82
Mn  0.5000  0.5000  0.2653  4 Zn 2.66, 4 Mn 2.77, 4 Li 2.82
Zn  0.0000  0.0000  0.5000  8 Mn 2.66, 4 Zn 2.77

Entry 5:
An optimized crystal structure of LiMn2Zn, computed with PBE-GGA.

DOS at the Fermi energy: 3.83 states/eV/f.u.
total energy: -40.47 eV per cell
crystal system: orthorhombic
formation enthalpy at 0 K: 31 kJ/mol of atoms

Unit cell a=2.7380 b=4.3350 c=9.1395 alpha=90.00 beta=90.00 gamma=90.00
Last column: nearest neighbours and their distance in Å.
Space group Cmmm (No. 65)
Symmetry-distinct sites (fractional):
Li  0.0000  0.0000  0.0000  6 Li 2.56-2.74, 4 Mn 2.71
Mn  0.0000  0.5000  0.2557  6 Mn 2.56-2.74, 2 Zn 2.62, 2 Li 2.71
Zn  0.0000  0.0000  0.5000  6 Zn 2.56-2.74, 4 Mn 2.62

Entry 6:
An optimized crystal structure of LiMn2Zn, computed with PBE-GGA.

DOS at the Fermi energy: 3.84 states/eV/f.u.
total energy: -20.47 eV per cell
crystal system: monoclinic
formation enthalpy at 0 K: 25 kJ/mol of atoms

Unit cell a=2.5321 b=4.3872 c=4.6448 alpha=90.00 beta=97.84 gamma=90.00
Last column: nearest neighbours and their distance in Å.
Space group P2/m (No. 10)
Symmetry-distinct sites (fractional):
Li  0.0000  0.0000  0.0000  2 Zn 2.49, 2 Li 2.53, 4 Mn 2.55
Mn  0.2119  0.5000  0.7611  5 Mn 2.48-2.59, 2 Li 2.55, 2 Zn 2.66
Zn  0.5000  0.0000  0.5000  2 Li 2.49, 2 Zn 2.53, 4 Mn 2.66

Entry 7:
An optimized crystal structure of Li2MnZn2, computed with PBE-GGA.

energy above the lowest structure with this stoichiometry: 1.02 eV/f.u.
DOS at the Fermi energy: 4.66 states/eV/f.u.
total energy: -28.08 eV per cell
crystal system: tetragonal
formation enthalpy at 0 K: 29 kJ/mol of atoms

Unit cell a=7.1590 b=7.1590 c=2.5414 alpha=90.00 beta=90.00 gamma=90.00
Last column: nearest neighbours and their distance in Å.
Space group P4/mbm (No. 127)
Symmetry-distinct sites (fractional):
Li  0.1628  0.3372  0.0000  6 Zn 2.39-2.50, 2 Li 2.54
Mn  0.0000  0.0000  0.5000  2 Mn 2.54, 4 Zn 2.78
Zn  0.1376  0.6375  0.5000  6 Li 2.39-2.50, 2 Zn 2.54

Entry 8:
An optimized crystal structure of LiMnZn2, computed with PBE-GGA.

DOS at the Fermi energy: 1.92 states/eV/f.u.
total energy: -25.86 eV per cell
crystal system: orthorhombic
formation enthalpy at 0 K: 17 kJ/mol of atoms

Unit cell a=2.9824 b=4.0303 c=8.7423 alpha=90.00 beta=90.00 gamma=90.00
Last column: nearest neighbours and their distance in Å.
Space group Cmm2 (No. 35)
Symmetry-distinct sites (fractional):
Li  0.0000  0.0000  0.0000  4 Li 2.51, 2 Mn 2.60, 2 Zn 2.68
Mn  0.0000  0.5000  0.7569  4 Mn 2.51, 2 Zn 2.53, 2 Li 2.60
Zn  0.0000  0.0000  0.5226  6 Zn 2.51-2.77, 2 Mn 2.53
Zn  0.0000  0.5000  0.2553  6 Zn 2.51-2.77, 2 Li 2.68

Entry 9:
An optimized crystal structure of Li2MnZn2, computed with PBE-GGA.

energy above the lowest structure with this stoichiometry: 0.00 eV/f.u.
DOS at the Fermi energy: 2.42 states/eV/f.u.
total energy: -30.11 eV per cell
crystal system: tetragonal
formation enthalpy at 0 K: 9 kJ/mol of atoms

Unit cell a=7.1830 b=7.1830 c=2.7788 alpha=90.00 beta=90.00 gamma=90.00
Last column: nearest neighbours and their distance in Å.
Space group P4/mbm (No. 127)
Symmetry-distinct sites (fractional):
Li  0.1244  0.3756  0.0000  6 Zn 2.47-2.58, 1 Li 2.53
Mn  0.0000  0.0000  0.0000  2 Mn 2.78, 4 Li 2.84, 8 Zn 3.00
Zn  0.1742  0.6742  0.5000  6 Li 2.47-2.58

Entry 10:
An optimized crystal structure of Li2MnZn, computed with PBE-GGA.

DOS at the Fermi energy: 2.44 states/eV/f.u.
total energy: -27.71 eV per cell
crystal system: orthorhombic
formation enthalpy at 0 K: 10 kJ/mol of atoms

Unit cell a=2.9431 b=4.4292 c=9.2711 alpha=90.00 beta=90.00 gamma=90.00
Last column: nearest neighbours and their distance in Å.
Space group Immm (No. 71)
Symmetry-distinct sites (fractional):
Li  0.0000  0.0000  0.2357  2 Zn 2.63, 6 Li 2.67-2.94, 2 Mn 2.86
Mn  0.0000  0.5000  0.0000  4 Zn 2.66, 4 Li 2.86, 2 Mn 2.94
Zn  0.0000  0.5000  0.5000  4 Li 2.63, 4 Mn 2.66, 2 Zn 2.94

Entry 11:
An optimized crystal structure of LiMn2Zn, computed with PBE-GGA.

DOS at the Fermi energy: 3.69 states/eV/f.u.
total energy: -41.03 eV per cell
crystal system: orthorhombic
formation enthalpy at 0 K: 24 kJ/mol of atoms

Unit cell a=2.6956 b=4.2921 c=8.9921 alpha=90.00 beta=90.00 gamma=90.00
Last column: nearest neighbours and their distance in Å.
Space group Immm (No. 71)
Symmetry-distinct sites (fractional):
Li  0.0000  0.0000  0.0000  4 Zn 2.53, 4 Mn 2.67, 2 Li 2.70
Mn  0.0000  0.5000  0.2442  6 Mn 2.54-2.70, 2 Zn 2.58, 2 Li 2.67
Zn  0.0000  0.0000  0.5000  4 Li 2.53, 4 Mn 2.58, 2 Zn 2.70

Entry 12:
An optimized crystal structure of Li2MnZn, computed with PBE-GGA.

DOS at the Fermi energy: 2.47 states/eV/f.u.
total energy: -27.28 eV per cell
crystal system: orthorhombic
formation enthalpy at 0 K: 15 kJ/mol of atoms

Unit cell a=2.7862 b=4.3660 c=9.2991 alpha=90.00 beta=90.00 gamma=90.00
Last column: nearest neighbours and their distance in Å.
Space group Cmmm (No. 65)
Symmetry-distinct sites (fractional):
Li  0.0000  0.0000  0.2453  6 Li 2.59-2.79, 2 Mn 2.67, 2 Zn 2.75
Mn  0.0000  0.5000  0.0000  6 Mn 2.59-2.79, 4 Li 2.67
Zn  0.0000  0.5000  0.5000  6 Zn 2.59-2.79, 4 Li 2.75

Entry 13:
An optimized crystal structure of LiMn2Zn, computed with PBE-GGA.

DOS at the Fermi energy: 3.01 states/eV/f.u.
total energy: -20.98 eV per cell
crystal system: orthorhombic
formation enthalpy at 0 K: 13 kJ/mol of atoms

Unit cell a=2.8646 b=4.0949 c=4.4122 alpha=90.00 beta=90.00 gamma=90.00
Last column: nearest neighbours and their distance in Å.
Space group Pmmm (No. 47)
Symmetry-distinct sites (fractional):
Li  0.0000  0.0000  0.0000  4 Zn 2.50, 4 Mn 2.63
Mn  0.0000  0.5000  0.5000  4 Mn 2.50, 4 Zn 2.63
Mn  0.5000  0.0000  0.5000  4 Mn 2.50, 4 Li 2.63
Zn  0.5000  0.5000  0.0000  4 Li 2.50, 4 Mn 2.63

Entry 14:
An optimized crystal structure of LiMnZn2, computed with PBE-GGA.

DOS at the Fermi energy: 2.13 states/eV/f.u.
total energy: -27.04 eV per cell
crystal system: orthorhombic
formation enthalpy at 0 K: 3 kJ/mol of atoms

Unit cell a=2.9086 b=4.4249 c=8.9954 alpha=90.00 beta=90.00 gamma=90.00
Last column: nearest neighbours and their distance in Å.
Space group Imm2 (No. 44)
Symmetry-distinct sites (fractional):
Li  0.0000  0.0000  0.0000  6 Zn 2.65-2.70, 2 Mn 2.83, 2 Li 2.91
Mn  0.0000  0.5000  0.7703  6 Zn 2.61-2.66, 2 Li 2.83, 2 Mn 2.91
Zn  0.0000  0.0000  0.5118  2 Zn 2.57, 2 Mn 2.61, 4 Li 2.65
Zn  0.0000  0.5000  0.2477  2 Zn 2.57, 4 Mn 2.66, 2 Li 2.70